[1]
VASP calculation (PBE) on a relaxed RbS5 crystal.

Structure (POSCAR):
```
RbS5
1.0
5.542 0.000 0.000
2.412 5.104 0.000
1.765 -0.675 7.658
Rb S
1 5
Cartesian
0.000 0.000 0.000
4.570 1.111 6.412
4.174 1.008 4.464
5.315 3.536 3.158
5.142 3.299 1.188
7.214 4.284 3.664
```

Values from the calculation:
Formation energy from raw total energies ... -1.53 eV/f.u.
Volume ... 36.10 Å³/atom

---

[2]
VASP calculation (PBE) on a relaxed RbS5 crystal.

Structure (POSCAR):
```
RbS5
1.0
2.784 -6.885 0.000
2.784 6.885 0.000
0.000 0.000 3.551
Rb S
1 5
Cartesian
0.000 0.000 0.000
2.784 3.378 1.776
2.784 1.920 0.000
2.784 0.000 1.776
2.784 -1.920 0.000
2.784 -3.378 1.776
```

Values from the calculation:
Formation energy from raw total energies ... 0.16 eV/f.u.
Volume ... 22.69 Å³/atom

---

[3]
VASP calculation (PBE) on a relaxed Rb3S crystal.

Structure (POSCAR):
```
Rb3S
1.0
4.735 0.000 0.000
0.000 4.735 0.000
0.000 0.000 9.477
Rb S
3 1
Cartesian
0.000 0.000 0.000
0.000 2.368 6.813
2.368 0.000 2.664
2.368 2.368 0.000
```

Values from the calculation:
Formation energy from raw total energies ... -2.23 eV/f.u.
Volume ... 53.12 Å³/atom

---

[4]
VASP calculation (PBE) on a relaxed RbS8 crystal.

Structure (POSCAR):
```
RbS8
1.0
5.210 0.000 0.000
0.739 6.012 0.000
0.344 2.739 8.118
Rb S
1 8
Cartesian
0.000 0.000 0.000
1.491 7.383 4.845
2.509 5.657 7.522
2.489 3.738 5.225
2.735 3.228 3.142
3.557 5.523 4.976
3.803 5.014 2.892
3.783 3.095 0.596
4.801 1.369 3.273
```

Values from the calculation:
Formation energy from raw total energies ... 0.12 eV/f.u.
Volume ... 28.25 Å³/atom

---

[5]
VASP calculation (PBE) on a relaxed Rb3SbS4 crystal.

Structure (POSCAR):
```
Rb3SbS4
1.0
9.741 0.000 0.000
0.000 11.299 0.000
0.000 0.000 10.142
Rb Sb S
12 4 16
Cartesian
0.628 0.497 2.082
0.628 5.153 2.082
1.331 8.474 4.347
3.540 2.825 9.418
4.242 6.146 7.153
4.242 10.802 7.153
5.499 0.497 2.989
5.499 5.153 2.989
6.201 8.474 0.723
8.410 2.825 5.794
9.112 6.146 8.060
9.112 10.802 8.060
2.149 8.474 9.977
2.721 2.825 4.906
7.020 8.474 5.236
7.591 2.825 0.165
0.070 8.474 0.973
1.518 0.865 5.442
1.518 4.785 5.442
1.774 8.474 7.638
3.096 2.825 2.567
3.352 6.514 0.371
3.352 10.434 0.371
4.801 2.825 6.044
4.940 8.474 4.097
6.388 0.865 9.771
6.388 4.785 9.771
6.644 8.474 7.575
7.967 2.825 2.504
8.223 6.514 4.700
8.223 10.434 4.700
9.671 2.825 9.168
```

Values from the calculation:
Formation energy from raw total energies ... -7.16 eV/f.u.
Volume ... 34.88 Å³/atom

---

[6]
VASP calculation (PBE) on a relaxed Rb2Sb2S crystal.

Structure (POSCAR):
```
Rb2Sb2S
1.0
7.701 0.000 0.000
0.000 7.701 0.000
0.000 0.000 5.884
Rb Sb S
4 4 2
Cartesian
1.341 2.509 0.000
2.509 6.359 0.000
5.192 1.341 0.000
6.359 5.192 0.000
1.049 4.899 2.942
2.802 1.049 2.942
4.899 6.652 2.942
6.652 2.802 2.942
0.000 0.000 2.942
3.850 3.850 2.942
```

Values from the calculation:
Formation energy from raw total energies ... -1.06 eV/f.u.
Volume ... 34.89 Å³/atom

---

[7]
VASP calculation (PBE) on a relaxed RbSb6S12 crystal.

Structure (POSCAR):
```
RbSb6S12
1.0
6.379 3.683 3.299
-6.379 3.683 3.299
0.000 -7.366 3.299
Rb Sb S
1 6 12
Cartesian
0.000 0.000 0.000
0.000 -2.915 3.891
-2.524 1.457 3.891
-2.524 -1.457 6.005
2.524 1.457 3.891
2.524 -1.457 6.005
0.000 2.915 6.005
-2.410 -4.174 4.948
-4.820 0.000 4.948
-1.774 -1.024 3.393
1.774 -1.024 3.393
0.000 2.048 3.393
2.410 -4.174 4.948
-2.410 4.174 4.948
0.000 -2.048 6.503
-1.774 1.024 6.503
1.774 1.024 6.503
4.820 0.000 4.948
2.410 4.174 4.948
```

Values from the calculation:
Formation energy from raw total energies ... 0.70 eV/f.u.
Volume ... 24.47 Å³/atom

---

[8]
VASP calculation (PBE) on a relaxed Rb5SbS crystal.

Structure (POSCAR):
```
Rb5SbS
1.0
4.987 -5.359 0.000
4.987 5.359 0.000
-0.973 0.000 12.387
Rb Sb S
10 2 2
Cartesian
3.025 3.192 4.319
4.257 3.977 9.290
2.198 0.899 12.265
6.462 3.192 1.874
2.684 -0.899 6.072
6.317 0.899 6.315
2.539 -3.192 10.512
6.803 -0.899 0.121
4.744 -3.977 3.097
5.976 -3.192 8.068
4.257 0.100 9.290
4.744 -0.100 3.097
0.000 0.000 0.000
-0.487 0.000 6.193
```

Values from the calculation:
Formation energy from raw total energies ... -3.97 eV/f.u.
Volume ... 47.29 Å³/atom

---

[9]
VASP calculation (PBE) on a relaxed Rb2Sb2S5 crystal.

Structure (POSCAR):
```
Rb2Sb2S5
1.0
5.817 0.000 0.000
0.088 7.351 0.000
2.682 2.690 6.716
Rb Sb S
2 2 5
Cartesian
1.370 3.288 2.330
7.217 6.753 4.386
4.360 3.514 5.522
4.227 6.528 1.194
1.792 6.328 0.922
4.329 8.558 4.407
4.294 5.021 3.358
4.258 1.483 2.309
6.795 3.713 5.794
```

Values from the calculation:
Formation energy from raw total energies ... -5.17 eV/f.u.
Volume ... 31.91 Å³/atom

---

[10]
VASP calculation (PBE) on a relaxed Rb3SbS3 crystal.

Structure (POSCAR):
```
Rb3SbS3
1.0
10.025 0.000 0.000
0.000 10.025 0.000
0.000 0.000 10.025
Rb Sb S
12 4 12
Cartesian
0.581 0.581 0.581
0.630 9.396 4.383
1.767 3.246 6.780
3.246 6.780 1.767
4.383 0.630 9.396
4.431 9.444 5.594
5.594 4.431 9.444
5.642 5.642 5.642
6.780 1.767 3.246
8.258 8.258 8.258
9.396 4.383 0.630
9.444 5.594 4.431
2.254 7.266 7.771
2.759 2.759 2.759
7.266 7.771 2.254
7.771 2.254 7.266
0.411 2.557 3.451
1.562 9.614 7.569
2.456 6.574 5.424
2.557 3.451 0.411
3.451 0.411 2.557
4.602 7.469 8.464
5.424 2.456 6.574
6.574 5.424 2.456
7.469 8.464 4.602
7.569 1.562 9.614
8.464 4.602 7.469
9.614 7.569 1.562
```

Values from the calculation:
Formation energy from raw total energies ... -6.82 eV/f.u.
Volume ... 35.99 Å³/atom

---

[11]
VASP calculation (PBE) on a relaxed RbSb6S8 crystal.

Structure (POSCAR):
```
RbSb6S8
1.0
5.115 2.953 5.092
-5.115 2.953 5.092
0.000 -5.906 5.092
Rb Sb S
1 6 8
Cartesian
0.000 0.000 0.000
-2.040 0.248 6.144
0.805 -1.891 6.144
-1.235 -1.643 9.132
1.235 1.643 6.144
-0.805 1.891 9.132
2.040 -0.248 9.132
-1.463 -2.967 6.223
-3.301 -0.217 9.053
0.000 0.000 4.524
-1.838 2.750 6.223
1.838 -2.750 9.053
0.000 0.000 10.752
3.301 0.217 6.223
1.463 2.967 9.053
```

Values from the calculation:
Formation energy from raw total energies ... -2.86 eV/f.u.
Volume ... 30.77 Å³/atom

---

[12]
VASP calculation (PBE) on a relaxed Rb3SbS4 crystal.

Structure (POSCAR):
```
Rb3SbS4
1.0
-3.682 5.181 4.032
3.682 -5.181 4.032
3.682 5.181 -4.032
Rb Sb S
3 1 4
Cartesian
0.000 0.000 0.000
3.682 2.696 -0.383
0.000 2.484 3.650
0.000 5.181 0.087
3.682 -1.961 2.807
3.682 1.961 2.807
1.922 5.181 1.426
1.761 0.000 5.459
```

Values from the calculation:
Formation energy from raw total energies ... -6.35 eV/f.u.
Volume ... 38.46 Å³/atom